(1)
DFT (PBE) results for a relaxed NbCo4Ni crystal.

a = 4.021 Å, b = 4.021 Å, c = 5.135 Å
α = 90.00°, β = 90.00°, γ = 120.00°
Fractional coordinates of all 6 atoms:
1 Nb 0.000 0.000 0.000
2 Co 0.333 0.667 0.268
3 Co 0.333 0.667 0.732
4 Co 0.667 0.333 0.268
5 Co 0.667 0.333 0.732
6 Ni 0.000 0.000 0.500

Summary:
For the energy of formation, the calculation gives -0.020 eV per atom. For the energy above the most stable polymorph in this dataset, the calculation gives 47 meV/atom.

(2)
DFT (PBE) results for a relaxed NbCoNi crystal.

a = 6.350 Å, b = 6.350 Å, c = 3.844 Å
α = 90.00°, β = 90.00°, γ = 149.47°
Fractional coordinates of all 6 atoms:
1 Nb 0.097 0.903 0.750
2 Nb 0.903 0.097 0.250
3 Co 0.425 0.575 0.750
4 Co 0.575 0.425 0.250
5 Ni 0.243 0.757 0.250
6 Ni 0.757 0.243 0.750

Summary:
For the energy of formation, the calculation gives -0.181 eV per atom. For the energy above the most stable polymorph in this dataset, the calculation gives 0 meV/atom.

(3)
DFT (PBE) results for a relaxed Nb3Co8Ni2 crystal.

a = 9.559 Å, b = 9.559 Å, c = 9.559 Å
α = 27.94°, β = 27.94°, γ = 27.94°
Fractional coordinates of all 13 atoms:
1 Nb 0.000 0.000 0.000
2 Nb 0.186 0.186 0.186
3 Nb 0.814 0.814 0.814
4 Co 0.235 0.738 0.738
5 Co 0.262 0.262 0.765
6 Co 0.262 0.765 0.262
7 Co 0.276 0.276 0.276
8 Co 0.724 0.724 0.724
9 Co 0.738 0.235 0.738
10 Co 0.738 0.738 0.235
11 Co 0.765 0.262 0.262
12 Ni 0.358 0.358 0.358
13 Ni 0.642 0.642 0.642

Summary:
For the energy of formation, the calculation gives 0.101 eV per atom.

(4)
DFT (PBE) results for a relaxed NbCo2Ni2 crystal.

a = 6.046 Å, b = 6.046 Å, c = 6.046 Å
α = 147.46°, β = 147.46°, γ = 46.68°
Fractional coordinates of all 5 atoms:
1 Nb 0.000 0.000 0.000
2 Co 0.400 0.400 0.000
3 Co 0.600 0.600 0.000
4 Ni 0.250 0.750 0.500
5 Ni 0.750 0.250 0.500

Summary:
For the energy of formation, the calculation gives 0.120 eV per atom. For the energy above the most stable polymorph in this dataset, the calculation gives 73 meV/atom.

(5)
DFT (PBE) results for a relaxed NbCoNi2 crystal.

a = 4.488 Å, b = 4.488 Å, c = 4.488 Å
α = 131.54°, β = 131.54°, γ = 70.96°
Fractional coordinates of all 4 atoms:
1 Nb 0.000 0.000 0.000
2 Co 0.750 0.250 0.500
3 Ni 0.250 0.750 0.500
4 Ni 0.500 0.500 0.000

Summary:
For the energy of formation, the calculation gives -0.201 eV per atom. For the energy above the most stable polymorph in this dataset, the calculation gives 36 meV/atom.

(6)
DFT (PBE) results for a relaxed NbCo2Ni2 crystal.

a = 6.154 Å, b = 6.154 Å, c = 6.154 Å
α = 148.19°, β = 148.19°, γ = 45.61°
Fractional coordinates of all 5 atoms:
1 Nb 0.000 0.000 0.000
2 Co 0.250 0.750 0.500
3 Co 0.750 0.250 0.500
4 Ni 0.399 0.399 0.000
5 Ni 0.601 0.601 0.000

Summary:
For the energy of formation, the calculation gives 0.113 eV per atom. For the energy above the most stable polymorph in this dataset, the calculation gives 67 meV/atom.

(7)
DFT (PBE) results for a relaxed Nb2CoNi5 crystal.

a = 5.240 Å, b = 10.456 Å, c = 3.637 Å
α = 90.00°, β = 90.00°, γ = 90.00°
Fractional coordinates of all 16 atoms:
1 Nb 0.236 0.121 0.000
2 Nb 0.264 0.621 0.000
3 Nb 0.736 0.379 0.000
4 Nb 0.764 0.879 0.000
5 Co 0.000 0.000 0.500
6 Co 0.500 0.500 0.500
7 Ni 0.000 0.500 0.500
8 Ni 0.014 0.750 0.500
9 Ni 0.239 0.373 0.000
10 Ni 0.261 0.873 0.000
11 Ni 0.486 0.250 0.500
12 Ni 0.500 0.000 0.500
13 Ni 0.514 0.750 0.500
14 Ni 0.739 0.127 0.000
15 Ni 0.761 0.627 0.000
16 Ni 0.986 0.250 0.500

Summary:
For the energy of formation, the calculation gives -0.191 eV per atom.

(8)
DFT (PBE) results for a relaxed Nb2Co4Ni crystal.

a = 4.541 Å, b = 8.040 Å, c = 5.249 Å
α = 90.00°, β = 107.35°, γ = 90.00°
Fractional coordinates of all 14 atoms:
1 Nb 0.128 0.018 0.287
2 Nb 0.128 0.482 0.787
3 Nb 0.872 0.518 0.213
4 Nb 0.872 0.982 0.713
5 Co 0.193 0.750 0.024
6 Co 0.193 0.750 0.524
7 Co 0.359 0.219 0.632
8 Co 0.359 0.281 0.132
9 Co 0.641 0.719 0.868
10 Co 0.641 0.781 0.368
11 Co 0.807 0.250 0.476
12 Co 0.807 0.250 0.976
13 Ni 0.500 0.000 0.000
14 Ni 0.500 0.500 0.500

Summary:
For the energy of formation, the calculation gives 0.091 eV per atom.

(9)
DFT (PBE) results for a relaxed NbCoNi2 crystal.

a = 4.157 Å, b = 4.157 Å, c = 4.157 Å
α = 60.00°, β = 60.00°, γ = 60.00°
Fractional coordinates of all 4 atoms:
1 Nb 0.000 0.000 0.000
2 Co 0.500 0.500 0.500
3 Ni 0.250 0.250 0.250
4 Ni 0.750 0.750 0.750

Summary:
For the energy of formation, the calculation gives -0.005 eV per atom. For the energy above the most stable polymorph in this dataset, the calculation gives 231 meV/atom.

(10)
DFT (PBE) results for a relaxed Nb2CoNi crystal.

a = 2.777 Å, b = 2.777 Å, c = 7.456 Å
α = 90.00°, β = 90.00°, γ = 90.00°
Fractional coordinates of all 4 atoms:
1 Nb 0.000 0.000 0.243
2 Nb 0.000 0.000 0.757
3 Co 0.500 0.500 0.000
4 Ni 0.500 0.500 0.500

Summary:
For the energy of formation, the calculation gives -0.103 eV per atom. For the energy above the most stable polymorph in this dataset, the calculation gives 26 meV/atom.

(11)
DFT (PBE) results for a relaxed NbCo2Ni2 crystal.

a = 4.445 Å, b = 4.445 Å, c = 4.668 Å
α = 93.04°, β = 93.04°, γ = 46.90°
Fractional coordinates of all 5 atoms:
1 Nb 0.000 0.000 0.000
2 Co 0.306 0.306 0.154
3 Co 0.694 0.694 0.846
4 Ni 0.371 0.371 0.636
5 Ni 0.629 0.629 0.364

Summary:
For the energy of formation, the calculation gives 0.251 eV per atom. For the energy above the most stable polymorph in this dataset, the calculation gives 204 meV/atom.

(12)
DFT (PBE) results for a relaxed Nb2CoNi crystal.

a = 4.004 Å, b = 5.030 Å, c = 5.030 Å
α = 35.46°, β = 90.00°, γ = 90.00°
Fractional coordinates of all 4 atoms:
1 Nb 0.000 0.000 0.000
2 Nb 0.500 0.289 0.289
3 Co 0.500 0.559 0.559
4 Ni 0.000 0.722 0.722

Summary:
For the energy of formation, the calculation gives -0.129 eV per atom. For the energy above the most stable polymorph in this dataset, the calculation gives 0 meV/atom.

(13)
DFT (PBE) results for a relaxed Nb2CoNi6 crystal.

a = 5.839 Å, b = 5.839 Å, c = 5.863 Å
α = 108.05°, β = 108.05°, γ = 36.00°
Fractional coordinates of all 9 atoms:
1 Nb 0.060 0.060 0.315
2 Nb 0.940 0.940 0.685
3 Co 0.500 0.500 0.000
4 Ni 0.171 0.171 0.001
5 Ni 0.275 0.275 0.671
6 Ni 0.389 0.389 0.329
7 Ni 0.611 0.611 0.671
8 Ni 0.725 0.725 0.329
9 Ni 0.829 0.829 0.999

Summary:
For the energy of formation, the calculation gives -0.171 eV per atom.